1.
Entry from Alexandria via LeMat-Bulk: a relaxed structure of Pr5Ag4Pt (PBE).

abc: 3.7214 3.7214 19.0882
angles: 90.00 90.00 90.00
Sites, in units of the cell vectors:
Pr  0.5000  0.5000  0.0904
Pr  0.5000  0.5000  0.2959
Pr  0.5000  0.5000  0.5000
Pr  0.5000  0.5000  0.7041
Pr  0.5000  0.5000  0.9096
Ag  0.0000  0.0000  0.1963
Ag  0.0000  0.0000  0.3980
Ag  0.0000  0.0000  0.6020
Ag  0.0000  0.0000  0.8037
Pt  0.0000  0.0000  0.0000

Values from the calculation:
**Space group**: P4/mmm, No. 123

---

2.
Entry from Alexandria via LeMat-Bulk: a relaxed structure of Pr3Ag2Pt (PBE).

abc: 6.1188 8.2998 7.8758
angles: 105.32 112.86 90.00
Sites, in units of the cell vectors:
Pr  0.5006  0.2500  0.0000
Pr  0.4994  0.7500  0.0000
Pr  0.1458  0.0740  0.2929
Pr  0.8529  0.4260  0.7071
Pr  0.1471  0.5740  0.2929
Pr  0.8542  0.9260  0.7071
Ag  0.6777  0.5881  0.3540
Ag  0.6763  0.0881  0.3540
Ag  0.3237  0.9119  0.6460
Ag  0.3223  0.4119  0.6460
Pt  0.9994  0.7500  0.0000
Pt  0.0006  0.2500  0.0000

Values from the calculation:
**Space group**: C2/c, No. 15

---

| no. | formation enthalpy at 0 K (eV/atom) | total magnetic moment (μB per cell) |
| --- | --- | --- |
| 1 | -0.401 | 0.00 |
| 2 | -0.399 | 0.00 |